A plane-wave DFT calculation with GGA-PBE was carried out for an optimized crystal structure of NpHRu3.

Calculated values
* raw total energy: -8.92 eV/atom
* size of the total moment: 0.761 μB/f.u.

Structure (CIF):
```
data_NpHRu3
_chemical_formula_sum 'Np1 H1 Ru3'
_symmetry_space_group_name_H-M 'P 1'
_symmetry_Int_Tables_number 1
_cell_length_a 4.0291
_cell_length_b 4.0291
_cell_length_c 4.0291
_cell_angle_alpha 90.00
_cell_angle_beta 90.00
_cell_angle_gamma 90.00
loop_
_symmetry_equiv_pos_as_xyz
'x,y,z'
loop_
_atom_site_label
_atom_site_type_symbol
_atom_site_fract_x
_atom_site_fract_y
_atom_site_fract_z
Ru1 Ru 0.0000 0.5000 0.0000
H1 H 0.0000 0.0000 0.0000
Ru2 Ru 0.5000 0.0000 0.0000
Ru3 Ru 0.0000 0.0000 0.5000
Np1 Np 0.5000 0.5000 0.5000
```